Below is a geometry-optimized CeCdGa2Au5 structure, with properties calculated at the PBE-GGA level.

Lattice parameters (Å, degrees): 4.9508 4.9508 7.7898 90.00 90.00 90.00
Element x y z (fractional)
Ce: 0.0000 0.0000 0.0000
Cd: 0.0000 0.0000 0.5000
Ga: 0.5000 0.5000 0.3420
Ga: 0.5000 0.5000 0.6580
Au: 0.0000 0.5000 0.2428
Au: 0.0000 0.5000 0.7572
Au: 0.5000 0.0000 0.2428
Au: 0.5000 0.0000 0.7572
Au: 0.5000 0.5000 0.0000

Values from the calculation:
As for the space group: No. 123. The spin magnetization comes out at 1.04 Bohr magnetons per cell. The calculation puts the density of states at the Fermi level at 9.57 states/eV/f.u. As for the formation energy: -0.286 eV/atom.